1.
DFT (PBE) results for a relaxed structure of PuThCdSn.

formation enthalpy at 0 K: -184 meV per atom
SG: No. 216

Cell: 5.404 5.404 5.404 Å, 60.00 60.00 60.00°
Fractional positions:
Pu 0.000 0.000 0.000
Th 0.500 0.500 0.500
Cd 0.750 0.750 0.750
Sn 0.250 0.250 0.250

=====

2.
DFT (PBE) results for a relaxed structure of HfCo2Ni.

formation enthalpy at 0 K: 143 meV per atom
SG: No. 122

Cell: 9.016 9.016 9.016 Å, 156.77 156.77 33.08°
Fractional positions:
Hf 0.000 0.000 0.000
Hf 0.750 0.250 0.500
Co 0.180 0.625 0.055
Co 0.375 0.430 0.555
Co 0.570 0.125 0.945
Co 0.875 0.820 0.445
Ni 0.250 0.750 0.500
Ni 0.500 0.500 0.000

=====

3.
DFT (PBE) results for a relaxed structure of RuRh.

formation enthalpy at 0 K: 63 meV per atom
SG: No. 70

Cell: 4.689 4.685 3.832 Å, 65.93 65.82 48.25°
Fractional positions:
Ru 0.125 0.125 0.125
Ru 0.875 0.875 0.875
Rh 0.375 0.375 0.375
Rh 0.625 0.625 0.625

=====

4.
DFT (PBE) results for a relaxed structure of Be2FeN.

SG: No. 122
E_form (uncorrected): -63.2 meV/atom

Cell: 4.526 4.526 4.526 Å, 101.02 101.02 128.16°
Fractional positions:
Be 0.019 0.625 0.894
Be 0.375 0.269 0.394
Be 0.731 0.125 0.106
Be 0.875 0.981 0.606
Fe 0.250 0.750 0.500
Fe 0.500 0.500 0.000
N 0.000 0.000 0.000
N 0.750 0.250 0.500

=====

5.
DFT (PBE) results for a relaxed structure of BaLa2Au.

formation enthalpy at 0 K: -117 meV per atom
SG: No. 47
energy relative to the lowest polymorph listed for this composition: 204 meV/atom

Cell: 3.839 5.798 5.967 Å, 90.00 90.00 90.00°
Fractional positions:
Ba 0.000 0.000 0.000
La 0.000 0.500 0.500
La 0.500 0.000 0.500
Au 0.500 0.500 0.000

=====

6.
DFT (PBE) results for a relaxed structure of TlCdB2Cl.

SG: No. 123
E_form (uncorrected): 1197.8 meV/atom

Cell: 4.382 4.382 6.506 Å, 90.00 90.00 90.00°
Fractional positions:
Tl 0.000 0.000 0.000
Cd 0.500 0.500 0.500
B 0.000 0.500 0.500
B 0.500 0.000 0.500
Cl 0.500 0.500 0.000

=====

7.
DFT (PBE) results for a relaxed structure of AcNdCu.

formation enthalpy at 0 K: 79 meV per atom
SG: No. 156
energy relative to the lowest polymorph listed for this composition: 125 meV/atom

Cell: 4.819 4.819 4.672 Å, 90.00 90.00 120.00°
Fractional positions:
Ac 0.000 0.000 0.000
Nd 0.333 0.667 0.500
Cu 0.667 0.333 0.502

=====

8.
DFT (PBE) results for a relaxed structure of BaTiBe.

formation enthalpy at 0 K: 279 meV per atom
SG: No. 2
energy relative to the lowest polymorph listed for this composition: 41 meV/atom

Cell: 4.219 4.219 10.823 Å, 89.82 89.95 60.01°
Fractional positions:
Ba 0.166 0.170 0.193
Ba 0.834 0.830 0.807
Ti 0.167 0.166 0.561
Ti 0.833 0.834 0.439
Be 0.500 0.499 0.593
Be 0.500 0.501 0.407

=====

9.
DFT (PBE) results for a relaxed structure of Ho3IrSe2.

SG: No. 70
E_form (uncorrected): -1450.5 meV/atom

Cell: 13.458 12.829 7.136 Å, 79.17 69.44 31.39°
Fractional positions:
Ho 0.038 0.536 0.189
Ho 0.103 0.647 0.647
Ho 0.189 0.737 0.038
Ho 0.263 0.811 0.464
Ho 0.353 0.897 0.897
Ho 0.464 0.962 0.263
Ho 0.536 0.038 0.737
Ho 0.647 0.103 0.103
Ho 0.737 0.189 0.536
Ho 0.811 0.263 0.962
Ho 0.897 0.353 0.353
Ho 0.962 0.464 0.811
Ir 0.042 0.042 0.208
Ir 0.208 0.208 0.042
Ir 0.792 0.792 0.958
Ir 0.958 0.958 0.792
Se 0.129 0.129 0.621
Se 0.295 0.295 0.455
Se 0.379 0.379 0.871
Se 0.455 0.455 0.295
Se 0.545 0.545 0.705
Se 0.621 0.621 0.129
Se 0.705 0.705 0.545
Se 0.871 0.871 0.379

=====

10.
DFT (PBE) results for a relaxed structure of CrNiRh.

formation enthalpy at 0 K: 39 meV per atom
SG: No. 107
energy relative to the lowest polymorph listed for this composition: 90 meV/atom

Cell: 4.640 4.640 4.640 Å, 142.12 142.12 54.65°
Fractional positions:
Cr 0.000 0.000 0.000
Ni 0.360 0.360 0.000
Rh 0.677 0.677 0.000

=====

11.
DFT (PBE) results for a relaxed structure of Rb2NbAs.

formation enthalpy at 0 K: 405 meV per atom
SG: No. 122

Cell: 9.624 9.624 9.624 Å, 93.98 93.98 149.46°
Fractional positions:
Rb 0.375 0.199 0.324
Rb 0.801 0.125 0.176
Rb 0.875 0.051 0.676
Rb 0.949 0.625 0.824
Nb 0.250 0.750 0.500
Nb 0.500 0.500 0.000
As 0.000 0.000 0.000
As 0.750 0.250 0.500

=====

12.
DFT (PBE) results for a relaxed structure of Ag8Pd6Au.

formation enthalpy at 0 K: 107 meV per atom
SG: No. 148
energy relative to the lowest polymorph listed for this composition: 0 meV/atom

Cell: 7.053 7.053 7.053 Å, 65.22 65.22 65.22°
Fractional positions:
Ag 0.076 0.362 0.677
Ag 0.243 0.243 0.243
Ag 0.323 0.924 0.638
Ag 0.362 0.677 0.076
Ag 0.638 0.323 0.924
Ag 0.677 0.076 0.362
Ag 0.757 0.757 0.757
Ag 0.924 0.638 0.323
Pd 0.132 0.830 0.424
Pd 0.170 0.576 0.868
Pd 0.424 0.132 0.830
Pd 0.576 0.868 0.170
Pd 0.830 0.424 0.132
Pd 0.868 0.170 0.576
Au 0.500 0.500 0.500

=====

13.
DFT (PBE) results for a relaxed structure of CoTeOs2.

SG: No. 119
E_form (uncorrected): 707.8 meV/atom

Cell: 4.739 4.739 4.739 Å, 130.71 130.71 72.28°
Fractional positions:
Co 0.000 0.000 0.000
Te 0.750 0.250 0.500
Os 0.250 0.750 0.500
Os 0.500 0.500 0.000

=====

14.
DFT (PBE) results for a relaxed structure of K2MgInI5.

SG: No. 36
E_form (uncorrected): -1052.3 meV/atom

Cell: 10.522 10.522 16.847 Å, 90.00 90.00 154.93°
Fractional positions:
K 0.069 0.931 0.500
K 0.137 0.863 0.158
K 0.863 0.137 0.658
K 0.931 0.069 0.000
Mg 0.243 0.757 0.898
Mg 0.757 0.243 0.398
In 0.443 0.557 0.308
In 0.557 0.443 0.808
I 0.106 0.894 0.940
I 0.239 0.761 0.517
I 0.282 0.718 0.280
I 0.378 0.622 0.849
I 0.493 0.507 0.623
I 0.507 0.493 0.123
I 0.622 0.378 0.349
I 0.718 0.282 0.780
I 0.761 0.239 0.017
I 0.894 0.106 0.440

=====

15.
DFT (PBE) results for a relaxed structure of Hg2PtW2.

formation enthalpy at 0 K: 1019 meV per atom
SG: No. 139

Cell: 7.525 7.525 7.525 Å, 150.97 150.97 41.53°
Fractional positions:
Hg 0.250 0.750 0.500
Hg 0.750 0.250 0.500
Pt 0.000 0.000 0.000
W 0.418 0.418 0.000
W 0.582 0.582 0.000

=====

16.
DFT (PBE) results for a relaxed structure of VSeS.

SG: No. 107
E_form (uncorrected): -501.1 meV/atom
energy relative to the lowest polymorph listed for this composition: 280 meV/atom

Cell: 6.783 6.783 6.783 Å, 154.82 154.82 35.91°
Fractional positions:
V 0.000 0.000 0.000
Se 0.371 0.371 0.000
S 0.601 0.601 0.000

=====

17.
DFT (PBE) results for a relaxed structure of LiCr2As.

formation enthalpy at 0 K: 216 meV per atom
SG: No. 35

Cell: 2.711 2.711 8.162 Å, 90.00 90.00 110.27°
Fractional positions:
Li 0.000 0.000 0.000
Cr 0.000 0.000 0.514
Cr 0.500 0.500 0.719
As 0.500 0.500 0.271

=====

18.
DFT (PBE) results for a relaxed structure of TiTcAgO6.

SG: No. 163
E_form (uncorrected): -1565.6 meV/atom

Cell: 5.130 5.130 9.847 Å, 90.00 90.00 120.00°
Fractional positions:
Ti 0.333 0.667 0.250
Ti 0.667 0.333 0.750
Tc 0.333 0.667 0.750
Tc 0.667 0.333 0.250
Ag 0.000 0.000 0.000
Ag 0.000 0.000 0.500
O 0.009 0.377 0.641
O 0.009 0.632 0.859
O 0.368 0.377 0.859
O 0.368 0.991 0.641
O 0.377 0.009 0.141
O 0.377 0.368 0.359
O 0.623 0.632 0.641
O 0.623 0.991 0.859
O 0.632 0.009 0.359
O 0.632 0.623 0.141
O 0.991 0.368 0.141
O 0.991 0.623 0.359

=====

19.
DFT (PBE) results for a relaxed structure of Li2CaPmSi2.

SG: No. 164
E_form (uncorrected): -437.3 meV/atom

Cell: 4.506 4.506 7.314 Å, 90.00 90.00 120.00°
Fractional positions:
Li 0.333 0.667 0.250
Li 0.667 0.333 0.750
Ca 0.000 0.000 0.000
Pm 0.000 0.000 0.500
Si 0.333 0.667 0.730
Si 0.667 0.333 0.270

=====

20.
DFT (PBE) results for a relaxed structure of CoAs2Se.

SG: No. 119
E_form (uncorrected): 503.5 meV/atom

Cell: 4.576 4.576 4.576 Å, 119.96 119.96 90.07°
Fractional positions:
Co 0.000 0.000 0.000
As 0.250 0.750 0.500
As 0.500 0.500 0.000
Se 0.750 0.250 0.500

=====

no.,DOS at the Fermi energy (states/eV/f.u.)
1,12.000
2,4.592
3,2.928
4,2.435
5,4.477
6,2.630
7,3.532
8,4.233
9,3.181
10,3.234
11,2.742
12,6.435
13,3.984
14,0.000
15,5.057
16,1.786
17,3.228
18,0.503
19,2.802
20,3.619